# 1
{"formula": "LiV2PtO8", "functional": "GGA+U", "state": "relaxed", "lattice_angstrom": [[-2.025, -1.079, -5.157], [5.175, -1.747, 1.423], [-2.224, -5.020, 1.924]], "species": ["Li", "V", "V", "Pt", "O", "O", "O", "O", "O", "O", "O", "O"], "frac_coords": [[0.000, 0.000, 0.500], [0.667, 0.333, 0.291], [0.333, 0.667, 0.709], [0.000, 0.000, 0.000], [0.843, 0.157, 0.212], [0.843, 0.686, 0.212], [0.314, 0.157, 0.212], [0.686, 0.843, 0.788], [0.333, 0.667, 0.428], [0.667, 0.333, 0.572], [0.157, 0.843, 0.788], [0.157, 0.314, 0.788]]}


# 2
{"formula": "LiVPtO2", "functional": "GGA+U", "state": "relaxed", "lattice_angstrom": [[3.640, 0.000, 0.000], [0.000, 6.722, 0.000], [0.000, 0.000, 3.640]], "species": ["Li", "O", "O", "Pt", "V"], "frac_coords": [[0.000, 0.500, 0.000], [0.000, 0.000, 0.500], [0.500, 0.000, 0.000], [0.500, 0.500, 0.500], [0.000, 0.000, 0.000]]}


Size of the total moment (computed, μB per formula unit): 0.53; 0.68
Calculated total energy (computed, eV/atom): -6.53; -5.52